(1)
Density functional theory data (PBE) for a geometry-optimized BaCa3Pt structure.

Cell: 7.936 8.734 5.686 Å, 90.00 97.15 90.00°
Positions (direct):
Pt (0.946, 0.750, 0.921)
Pt (0.054, 0.250, 0.079)
Ca (0.226, 0.529, 0.971)
Ca (0.774, 0.029, 0.029)
Ca (0.774, 0.471, 0.029)
Ca (0.226, 0.971, 0.971)
Ca (0.962, 0.250, 0.561)
Ca (0.038, 0.750, 0.439)
Ba (0.570, 0.750, 0.538)
Ba (0.430, 0.250, 0.462)

Results
Its energy relative to the elements is -0.45 eV/atom. The theoretical density comes out at 3.84 g/cm3. For the total DFT energy (no corrections), the calculation gives -0.2386 Ry per atom. The volume is 391.1 Å³/cell. The total moment comes out at 0.00 μB per atom. For the polymorph energy (0 for the lowest one), the calculation gives 9.0 meV per atom.



(2)
Density functional theory data (PBE) for a geometry-optimized CsNaP2Cl structure.

Cell: 5.237 5.221 5.237 Å, 90.00 90.00 90.00°
Positions (direct):
P (0.500, 0.000, 0.000)
P (0.000, 0.000, 0.500)
Cs (0.500, 0.500, 0.500)
Na (0.000, 0.500, 0.000)
Cl (0.000, 0.000, 0.000)

Results
The theoretical density comes out at 2.94 g/cm3. For the total DFT energy (no corrections), the calculation gives -0.1971 Ry per atom. The volume is 143.2 Å³/cell. The total moment comes out at 0.00 μB per atom. For the polymorph energy (0 for the lowest one), the calculation gives 79.6 meV per atom.



(3)
Density functional theory data (PBE) for a geometry-optimized HfCuGe structure.

Cell: 3.970 6.509 7.452 Å, 90.00 90.00 90.00°
Positions (direct):
Ge (0.250, 0.776, 0.604)
Ge (0.750, 0.724, 0.104)
Ge (0.750, 0.224, 0.396)
Ge (0.250, 0.276, 0.896)
Cu (0.250, 0.168, 0.577)
Cu (0.750, 0.332, 0.077)
Cu (0.750, 0.832, 0.423)
Cu (0.250, 0.668, 0.923)
Hf (0.750, 0.487, 0.692)
Hf (0.250, 0.013, 0.192)
Hf (0.750, 0.987, 0.808)
Hf (0.250, 0.513, 0.308)

Results
Its energy relative to the elements is -0.50 eV/atom. The theoretical density comes out at 10.86 g/cm3. For the total DFT energy (no corrections), the calculation gives -0.4940 Ry per atom. The volume is 192.5 Å³/cell. The total moment comes out at 0.00 μB per atom.



(4)
Density functional theory data (PBE) for a geometry-optimized PtW2Br structure.

Cell: 5.498 5.498 5.498 Å, 147.81 130.34 60.42°
Positions (direct):
Pt (0.250, 0.750, 0.500)
Br (0.750, 0.250, 0.500)
W (0.986, 0.986, 0.000)
W (0.514, 0.514, 0.000)

Results
The theoretical density comes out at 15.95 g/cm3. For the total DFT energy (no corrections), the calculation gives -0.5476 Ry per atom. The volume is 66.9 Å³/cell. The total moment comes out at 0.00 μB per atom. For the polymorph energy (0 for the lowest one), the calculation gives 548.9 meV per atom.



(5)
Density functional theory data (PBE) for a geometry-optimized SmThAg structure.

Cell: 3.515 5.190 5.190 Å, 120.00 90.00 90.00°
Positions (direct):
Ag (0.322, 0.333, 0.667)
Sm (0.643, 0.667, 0.333)
Th (0.035, 0.000, 0.000)

Results
Its energy relative to the elements is 0.12 eV/atom. The theoretical density comes out at 9.93 g/cm3. For the total DFT energy (no corrections), the calculation gives -0.3587 Ry per atom. The volume is 82.0 Å³/cell. The total moment comes out at 0.00 μB per atom. For the polymorph energy (0 for the lowest one), the calculation gives 205.6 meV per atom.



(6)
Density functional theory data (PBE) for a geometry-optimized CsI2Br2 structure.

Cell: 5.170 5.170 11.953 Å, 90.00 90.00 120.00°
Positions (direct):
Cs (0.000, 0.000, 0.000)
I (0.667, 0.333, 0.600)
I (0.333, 0.667, 0.400)
Br (0.333, 0.667, 0.165)
Br (0.667, 0.333, 0.835)

Results
The theoretical density comes out at 3.28 g/cm3. For the total DFT energy (no corrections), the calculation gives -0.1409 Ry per atom. The volume is 276.7 Å³/cell. The total moment comes out at 0.00 μB per atom. For the polymorph energy (0 for the lowest one), the calculation gives 91.1 meV per atom.